VASP calculation (PBE-GGA) on a relaxed structure of BeCrSb.

Results
The polymorph energy (0 for the lowest one) is 0.00 eV per formula unit. The calculation puts the calculated density at 7.2 g cm⁻³. Its calculated total energy is -0.2029 Ha/atom. The density of states at the Fermi level comes out at 4.1 states/eV/cell. As for the formation energy without anion corrections: 0.30 eV per atom.

Lattice parameters (Å, degrees): 3.1914 3.1914 8.3162 90.00 90.00 90.00
Space group I4mm (No. 107)
Inequivalent atoms, fractional coordinates:
Be 0.0000 0.0000 0.0000 [2 per cell]
Cr 0.0000 0.0000 0.3719 [2 per cell]
Sb 0.0000 0.0000 0.6912 [2 per cell]

VASP calculation (PBE-GGA) on a relaxed structure of KCd2P.

Results
The calculation puts the calculated density at 5.0 g cm⁻³. Its calculated total energy is -0.0709 Ha/atom. The density of states at the Fermi level comes out at 3.3 states/eV/cell.

Lattice parameters (Å, degrees): 4.6268 4.6268 9.1973 90.00 90.00 90.00
Space group I4/mmm (No. 139)
Inequivalent atoms, fractional coordinates:
K 0.0000 0.0000 0.0000 [2 per cell]
Cd 0.0000 0.5000 0.2500 [4 per cell]
P 0.0000 0.0000 0.5000 [2 per cell]

VASP calculation (PBE-GGA) on a relaxed structure of DyHoOsPd.

Results
The calculation puts the calculated density at 12.7 g cm⁻³. Its calculated total energy is -0.2557 Ha/atom. The density of states at the Fermi level comes out at 8.1 states/eV/cell.

Lattice parameters (Å, degrees): 6.8782 6.8782 6.8782 90.00 90.00 90.00
Space group F-43m (No. 216)
Inequivalent atoms, fractional coordinates:
Dy 0.0000 0.0000 0.0000 [4 per cell]
Ho 0.0000 0.0000 0.5000 [4 per cell]
Os 0.2500 0.2500 0.2500 [4 per cell]
Pd 0.2500 0.2500 0.7500 [4 per cell]

VASP calculation (PBE-GGA) on a relaxed structure of ReNi.

Results
The calculation puts the calculated density at 9.0 g cm⁻³. Its calculated total energy is -0.2669 Ha/atom. The density of states at the Fermi level comes out at 16.8 states/eV/cell.

Lattice parameters (Å, degrees): 6.4766 6.4766 6.4766 90.00 90.00 90.00
Space group Pm-3n (No. 223)
Inequivalent atoms, fractional coordinates:
Re 0.0000 0.2500 0.5000 [6 per cell]
Ni 0.0000 0.5000 0.2500 [6 per cell]

VASP calculation (PBE-GGA) on a relaxed structure of SrOsRu.

Results
The polymorph energy (0 for the lowest one) is 0.16 eV per formula unit. The calculation puts the calculated density at 9.7 g cm⁻³. Its calculated total energy is -0.2604 Ha/atom. The density of states at the Fermi level comes out at 3.5 states/eV/cell.

Lattice parameters (Å, degrees): 5.1454 4.4812 5.9302 90.00 108.36 90.00
Space group Pm (No. 6)
Inequivalent atoms, fractional coordinates:
Sr 0.0000 0.0000 0.0000 [1 per cell]
Sr 0.4991 0.5000 0.0605 [1 per cell]
Os 0.3709 0.0000 0.5702 [1 per cell]
Os 0.8319 0.0000 0.4724 [1 per cell]
Ru 0.1239 0.5000 0.4785 [1 per cell]
Ru 0.6678 0.5000 0.5896 [1 per cell]

VASP calculation (PBE-GGA) on a relaxed structure of LaMnBe2.

Results
The polymorph energy (0 for the lowest one) is 1.39 eV per formula unit. The calculation puts the calculated density at 5.5 g cm⁻³. Its calculated total energy is -0.1817 Ha/atom. The density of states at the Fermi level comes out at 5.7 states/eV/cell.

Lattice parameters (Å, degrees): 4.9476 4.9629 5.1728 90.00 90.00 90.00
Space group Immm (No. 71)
Inequivalent atoms, fractional coordinates:
La 0.0000 0.0000 0.0000 [2 per cell]
Mn 0.0000 0.0000 0.5000 [2 per cell]
Be 0.0000 0.5000 0.2486 [4 per cell]

VASP calculation (PBE-GGA) on a relaxed structure of NdPClO4.

Results
The calculation puts the calculated density at 3.7 g cm⁻³. Its calculated total energy is -0.2571 Ha/atom. The density of states at the Fermi level comes out at 0.0 states/eV/cell. As for the formation energy without anion corrections: -2.44 eV per atom.

Lattice parameters (Å, degrees): 10.9740 6.6410 6.7831 90.00 99.72 90.00
Space group C2/m (No. 12)
Inequivalent atoms, fractional coordinates:
Nd 0.2038 0.0000 0.3282 [4 per cell]
P 0.1473 0.0000 0.7717 [4 per cell]
Cl 0.0300 0.5000 0.3693 [4 per cell]
O 0.0053 0.0000 0.7492 [4 per cell]
O 0.1912 0.1838 0.6547 [8 per cell]
O 0.2094 0.0000 0.9907 [4 per cell]

VASP calculation (PBE-GGA) on a relaxed structure of SrCu2Sb.

Results
The calculation puts the calculated density at 6.4 g cm⁻³. Its calculated total energy is -0.1282 Ha/atom. The density of states at the Fermi level comes out at 2.0 states/eV/cell. As for the formation energy without anion corrections: 0.01 eV per atom.

Lattice parameters (Å, degrees): 4.5851 4.5851 4.1677 90.00 90.00 90.00
Space group P4/mmm (No. 123)
Inequivalent atoms, fractional coordinates:
Sr 0.0000 0.0000 0.0000 [1 per cell]
Cu 0.0000 0.5000 0.5000 [2 per cell]
Sb 0.5000 0.5000 0.0000 [1 per cell]

Q: Among the records above, which one has the lowest calculated total energy?
A: ReNi